(1)
This record from the Alexandria database describes a relaxed structure of Nd2Pd7Pb. The functional is PBE-GGA.

Unit cell a=7.0241 b=7.0241 c=7.0241 alpha=60.00 beta=60.00 gamma=60.00
Last column: nearest neighbours and their distance in Å.
Fractional positions:
Nd 0.2500 0.2500 0.2500  12 Pd 3.51
Nd 0.7500 0.7500 0.7500  12 Pd 3.51
Pd 0.0000 0.0000 0.0000  6 Pd 2.46
Pd 0.2475 0.2475 0.7525  1 Pd 2.46, 1 Pb 2.51
Pd 0.2475 0.7525 0.2475  1 Pd 2.46, 1 Pb 2.51
Pd 0.2475 0.7525 0.7525  1 Pd 2.46, 1 Pb 2.51
Pd 0.7525 0.2475 0.2475  1 Pd 2.46, 1 Pb 2.51
Pd 0.7525 0.2475 0.7525  1 Pd 2.46, 1 Pb 2.51
Pd 0.7525 0.7525 0.2475  1 Pd 2.46, 1 Pb 2.51
Pb 0.5000 0.5000 0.5000  6 Pd 2.51

## Properties
Total magnetization: 0.00 Bohr magnetons per cell
E_form: 0.1081 eV/atom



(2)
This record from the Alexandria database describes a relaxed structure of K2Cd4BiSb3. The functional is PBE-GGA.

Unit cell a=5.1768 b=5.1768 c=11.8602 alpha=90.00 beta=90.00 gamma=90.00
Last column: nearest neighbours and their distance in Å.
Fractional positions:
K 0.0000 0.5000 0.2495  8 Cd 3.91-3.94, 2 Bi 3.93, 6 Sb 3.93-3.94
K 0.5000 0.0000 0.7505  8 Cd 3.91-3.94, 2 Bi 3.93, 6 Sb 3.93-3.94
Cd 0.0000 0.0000 0.5000  4 Sb 2.99
Cd 0.0000 0.5000 0.8663  3 Sb 2.84-3.04, 2 Bi 3.04
Cd 0.5000 0.0000 0.1337  3 Sb 2.84-3.04, 2 Bi 3.04
Cd 0.5000 0.5000 0.5000  4 Sb 2.99
Bi 0.5000 0.5000 0.0000  4 Cd 3.04
Sb 0.0000 0.0000 0.0000  4 Cd 3.04
Sb 0.0000 0.5000 0.6266  5 Cd 2.84-2.99
Sb 0.5000 0.0000 0.3734  5 Cd 2.84-2.99

## Properties
E_form (uncorrected): -25 kJ per mole of atoms
Total magnetization: 0.00 Bohr magnetons per cell



(3)
This record from the Alexandria database describes a relaxed structure of ReSiSb2. The functional is PBE-GGA.

Unit cell a=4.4505 b=4.4505 c=6.5279 alpha=99.63 beta=99.63 gamma=44.15
Last column: nearest neighbours and their distance in Å.
Fractional positions:
Re 0.0000 0.0000 0.0000  3 Si 2.44-2.45
Si 0.2799 0.2799 0.9265  3 Re 2.44-2.45, 1 Sb 2.71
Sb 0.4968 0.4968 0.6597  1 Si 2.71, 2 Re 2.78
Sb 0.7310 0.7310 0.2690  2 Si 2.88, 3 Re 2.88-3.07

## Properties
E_form (uncorrected): 18 kJ per mole of atoms
Total magnetization: 0.00 Bohr magnetons per cell



(4)
This record from the Alexandria database describes a relaxed structure of ScSiH2. The functional is PBE-GGA.

Unit cell a=3.8499 b=3.8499 c=3.8499 alpha=60.00 beta=60.00 gamma=60.00
Last column: nearest neighbours and their distance in Å.
Fractional positions:
Sc 0.0000 0.0000 0.0000  8 H 2.36
Si 0.5000 0.5000 0.5000  8 H 2.36
H 0.2500 0.2500 0.2500  4 Si 2.36, 4 Sc 2.36
H 0.7500 0.7500 0.7500  4 Si 2.36, 4 Sc 2.36

## Properties
Total magnetization: 0.00 Bohr magnetons per cell
Energy: -4.562 eV per atom



(5)
This record from the Alexandria database describes a relaxed structure of LaPbS3. The functional is PBE-GGA.

Unit cell a=5.1302 b=5.1302 c=5.1302 alpha=90.00 beta=90.00 gamma=90.00
Last column: nearest neighbours and their distance in Å.
Fractional positions:
La 0.0000 0.0000 0.0000  12 S 3.63
Pb 0.5000 0.5000 0.5000  6 S 2.57
S 0.0000 0.5000 0.5000  2 Pb 2.57
S 0.5000 0.0000 0.5000  2 Pb 2.57
S 0.5000 0.5000 0.0000  2 Pb 2.57

## Properties
E_form (uncorrected): -59 kJ per mole of atoms
Total magnetization: 0.00 Bohr magnetons per cell



(6)
This record from the Alexandria database describes a relaxed structure of ZrPaPd. The functional is PBE-GGA.

Unit cell a=3.3698 b=6.0749 c=6.7743 alpha=77.92 beta=79.13 gamma=76.89
Last column: nearest neighbours and their distance in Å.
Fractional positions:
Zr 0.1078 0.1731 0.1158  4 Pd 2.85-3.07, 1 Pa 3.15, 1 Zr 3.15
Zr 0.8922 0.8269 0.8842  4 Pd 2.85-3.07, 1 Pa 3.15, 1 Zr 3.15
Pa 0.2912 0.1955 0.5574  1 Pa 2.66, 2 Pd 2.86-2.87
Pa 0.7088 0.8045 0.4426  1 Pa 2.66, 2 Pd 2.86-2.87
Pd 0.3931 0.5731 0.1951  4 Zr 2.85-3.07, 3 Pa 2.86-3.01, 1 Pd 2.88
Pd 0.6069 0.4269 0.8049  4 Zr 2.85-3.07, 3 Pa 2.86-3.01, 1 Pd 2.88

## Properties
Total magnetization: 0.00 Bohr magnetons per cell
E_form: -0.3411 eV/atom



(7)
This record from the Alexandria database describes a relaxed structure of Ho4Zn. The functional is PBE-GGA.

Unit cell a=5.4254 b=5.4254 c=5.4254 alpha=90.00 beta=90.00 gamma=90.00
Last column: nearest neighbours and their distance in Å.
Fractional positions:
Ho 0.0000 0.0000 0.0000  12 Ho 3.84
Ho 0.0000 0.5000 0.5000  2 Zn 2.71
Ho 0.5000 0.0000 0.5000  2 Zn 2.71
Ho 0.5000 0.5000 0.0000  2 Zn 2.71
Zn 0.5000 0.5000 0.5000  6 Ho 2.71

## Properties
Total magnetization: 0.00 Bohr magnetons per cell
E_form: 0.2146 eV/atom



(8)
This record from the Alexandria database describes a relaxed structure of Sr2TlSb. The functional is PBE-GGA.

Unit cell a=6.0801 b=6.0801 c=6.0801 alpha=128.77 beta=128.77 gamma=75.37
Last column: nearest neighbours and their distance in Å.
Fractional positions:
Sr 0.2500 0.7500 0.5000  4 Sb 3.56, 4 Tl 3.56, 4 Sr 3.72
Sr 0.7500 0.2500 0.5000  4 Sb 3.56, 4 Tl 3.56, 4 Sr 3.72
Tl 0.0000 0.0000 0.0000  8 Sr 3.56, 4 Sb 3.72
Sb 0.5000 0.5000 0.0000  8 Sr 3.56, 4 Tl 3.72

## Properties
E_form (uncorrected): -62 kJ per mole of atoms
Total magnetization: 0.00 Bohr magnetons per cell



(9)
This record from the Alexandria database describes a relaxed structure of Fe3CoPt6. The functional is PBE-GGA.

Unit cell a=7.2624 b=4.4128 c=9.4877 alpha=90.00 beta=109.31 gamma=90.00
Last column: nearest neighbours and their distance in Å.
Fractional positions:
Fe 0.0997 0.2500 0.2371  8 Pt 2.63-2.80, 1 Co 2.70, 3 Fe 2.72-2.77
Fe 0.2952 0.2500 0.0315  11 Pt 2.70-2.84, 1 Fe 2.77
Fe 0.3034 0.7500 0.3705  9 Pt 2.64-2.81, 2 Fe 2.72, 1 Co 2.75
Fe 0.6966 0.2500 0.6295  9 Pt 2.64-2.81, 2 Fe 2.72, 1 Co 2.75
Fe 0.7048 0.7500 0.9685  11 Pt 2.70-2.84, 1 Fe 2.77
Fe 0.9003 0.7500 0.7629  8 Pt 2.63-2.80, 1 Co 2.70, 3 Fe 2.72-2.77
Co 0.0954 0.7500 0.5656  8 Pt 2.60-2.81, 2 Co 2.68, 2 Fe 2.70-2.75
Co 0.9046 0.2500 0.4344  8 Pt 2.60-2.81, 2 Co 2.68, 2 Fe 2.70-2.75
Pt 0.0824 0.2500 0.7218  3 Co 2.60-2.68, 4 Fe 2.64-2.83, 5 Pt 2.72-2.86
Pt 0.1027 0.7500 0.0711  7 Fe 2.70-2.80, 5 Pt 2.72-2.77
Pt 0.2863 0.2500 0.5268  3 Co 2.62-2.70, 4 Fe 2.63-2.81, 5 Pt 2.73-2.83
Pt 0.2904 0.7500 0.8605  4 Fe 2.67-2.84, 1 Co 2.69, 7 Pt 2.73-2.78
Pt 0.4942 0.2500 0.3323  5 Fe 2.69-2.74, 6 Pt 2.73-2.79, 1 Co 2.81
Pt 0.4995 0.2500 0.8359  4 Fe 2.73-2.78, 8 Pt 2.73-2.86
Pt 0.5005 0.7500 0.1641  4 Fe 2.73-2.78, 8 Pt 2.73-2.86
Pt 0.5058 0.7500 0.6677  5 Fe 2.69-2.74, 6 Pt 2.73-2.79, 1 Co 2.81
Pt 0.7096 0.2500 0.1395  4 Fe 2.67-2.84, 1 Co 2.69, 7 Pt 2.73-2.78
Pt 0.7137 0.7500 0.4732  3 Co 2.62-2.70, 4 Fe 2.63-2.81, 5 Pt 2.73-2.83
Pt 0.8973 0.2500 0.9289  7 Fe 2.70-2.80, 5 Pt 2.72-2.77
Pt 0.9176 0.7500 0.2782  3 Co 2.60-2.68, 4 Fe 2.64-2.83, 5 Pt 2.72-2.86

## Properties
Total magnetization: 26.98 Bohr magnetons per cell
E_form: -0.1873 eV/atom



(10)
This record from the Alexandria database describes a relaxed structure of TaPbW3. The functional is PBE-GGA.

Unit cell a=4.8799 b=4.8799 c=4.8799 alpha=90.00 beta=90.00 gamma=90.00
Last column: nearest neighbours and their distance in Å.
Fractional positions:
Ta 0.0000 0.0000 0.0000  6 W 2.44
Pb 0.5000 0.5000 0.5000  12 W 3.45
W 0.0000 0.0000 0.5000  2 Ta 2.44
W 0.0000 0.5000 0.0000  2 Ta 2.44
W 0.5000 0.0000 0.0000  2 Ta 2.44

## Properties
Total magnetization: 0.00 Bohr magnetons per cell
E_form: 2.1952 eV/atom



(11)
This record from the Alexandria database describes a relaxed structure of CaNd3Ag2. The functional is PBE-GGA.

Unit cell a=5.1817 b=9.4452 c=7.3533 alpha=90.00 beta=90.00 gamma=90.00
Last column: nearest neighbours and their distance in Å.
Fractional positions:
Ca 0.0000 0.0648 0.0000  3 Ag 3.16-3.31
Ca 0.0000 0.9352 0.5000  3 Ag 3.16-3.31
Nd 0.0000 0.3309 0.6349  4 Ag 3.06-3.23
Nd 0.0000 0.6691 0.1349  4 Ag 3.06-3.23
Nd 0.5000 0.1790 0.3287  4 Ag 3.04-3.17
Nd 0.5000 0.4323 0.9631  3 Ag 3.18-3.29
Nd 0.5000 0.5677 0.4631  3 Ag 3.18-3.29
Nd 0.5000 0.8210 0.8287  4 Ag 3.04-3.17
Ag 0.0000 0.3519 0.2194  6 Nd 3.06-3.29, 1 Ca 3.16
Ag 0.0000 0.6481 0.7194  6 Nd 3.06-3.29, 1 Ca 3.16
Ag 0.5000 0.1439 0.7400  5 Nd 3.04-3.23, 2 Ca 3.31
Ag 0.5000 0.8561 0.2400  5 Nd 3.04-3.23, 2 Ca 3.31

## Properties
Total magnetization: 0.00 Bohr magnetons per cell
E_form: -0.1615 eV/atom



(12)
This record from the Alexandria database describes a relaxed structure of Rb2CeThTe4. The functional is PBE-GGA.

Unit cell a=7.9853 b=4.5997 c=9.0515 alpha=90.00 beta=107.00 gamma=90.00
Last column: nearest neighbours and their distance in Å.
Fractional positions:
Rb 0.0000 0.0000 0.0000  6 Te 3.69-3.70
Rb 0.5000 0.5000 0.0000  6 Te 3.65-3.66
Ce 0.0000 0.5000 0.5000  6 Te 3.23-3.24
Th 0.5000 0.0000 0.5000  6 Te 3.18-3.19
Te 0.2411 0.0000 0.7077  1 Th 3.18, 2 Ce 3.23
Te 0.2686 0.5000 0.2925  2 Th 3.19, 1 Ce 3.24
Te 0.7314 0.5000 0.7075  2 Th 3.19, 1 Ce 3.24
Te 0.7589 0.0000 0.2923  1 Th 3.18, 2 Ce 3.23

## Properties
E_form (uncorrected): -121 kJ per mole of atoms
Total magnetization: 1.68 Bohr magnetons per cell